Record 1
LaCeEr | PBE | relaxed

Geometry as CIF:
```
data_LaCeEr
_chemical_formula_sum 'La1 Ce1 Er1'
_cell_length_a 3.5456
_cell_length_b 3.5456
_cell_length_c 8.7226
_cell_angle_alpha 90.00
_cell_angle_beta 90.00
_cell_angle_gamma 120.00
_symmetry_space_group_name_H-M 'P 3 m 1'
_symmetry_Int_Tables_number 156
loop_
_symmetry_equiv_pos_as_xyz
'x,y,z'
'-y,x-y,z'
'-x+y,-x,z'
'-y,-x,z'
'-x+y,y,z'
'x,x-y,z'
loop_
_atom_site_label
_atom_site_type_symbol
_atom_site_fract_x
_atom_site_fract_y
_atom_site_fract_z
La1 La 0.0000 0.0000 0.0000
Ce1 Ce 0.6667 0.3333 0.3276
Er1 Er 0.3333 0.6667 0.6483
```

Summary:
The calculation puts the total magnetization at 0.4 μB/cell. For the density of states at the Fermi level, the calculation gives 7.54 states/eV/cell. Its offset from the most stable computed form is 19.0 meV per atom.

***

Record 2
SmDyTm5 | PBE | relaxed

Geometry as CIF:
```
data_SmDyTm5
_chemical_formula_sum 'Sm4 Dy4 Tm20'
_cell_length_a 11.516
_cell_length_b 6.730
_cell_length_c 12.008
_cell_angle_alpha 90.00
_cell_angle_beta 109.51
_cell_angle_gamma 90.00
_symmetry_space_group_name_H-M 'C 1 2/c 1'
_symmetry_Int_Tables_number 15
loop_
_symmetry_equiv_pos_as_xyz
'x,y,z'
'-x,-y,-z'
'-x,y,-z+1/2'
'x,-y,z+1/2'
'x+1/2,y+1/2,z'
'-x+1/2,-y+1/2,-z'
'-x+1/2,y+1/2,-z+1/2'
'x+1/2,-y+1/2,z+1/2'
loop_
_atom_site_label
_atom_site_type_symbol
_atom_site_fract_x
_atom_site_fract_y
_atom_site_fract_z
Sm1 Sm 0.000 0.025 0.250
Dy1 Dy 0.250 0.250 0.000
Tm1 Tm 0.000 0.413 0.750
Tm2 Tm 0.078 0.275 0.499
Tm3 Tm 0.220 0.359 0.250
```

Summary:
The calculation puts the total magnetization at 0.0 μB/cell. For the density of states at the Fermi level, the calculation gives 34.08 states/eV/cell. Its offset from the most stable computed form is 0.0 meV per atom.

***

Record 3
CdPRuCl2 | PBE | relaxed

Geometry as CIF:
```
data_CdPRuCl2
_chemical_formula_sum 'Cd1 P1 Ru1 Cl2'
_cell_length_a 5.023
_cell_length_b 5.023
_cell_length_c 5.248
_cell_angle_alpha 90.00
_cell_angle_beta 90.00
_cell_angle_gamma 90.00
_symmetry_space_group_name_H-M 'P 4/m m m'
_symmetry_Int_Tables_number 123
_symmetry_space_group_name_Hall '-P 4 2'
loop_
_atom_site_label
_atom_site_type_symbol
_atom_site_fract_x
_atom_site_fract_y
_atom_site_fract_z
Cd1 Cd 0.000 0.000 0.000
P1 P 0.000 0.000 0.500
Ru1 Ru 0.500 0.500 0.500
Cl1 Cl 0.000 0.500 0.000
```

Summary:
The calculation puts the total magnetization at 4.3 μB/cell. For the density of states at the Fermi level, the calculation gives 4.16 states/eV/cell. As for the formation energy without anion corrections: 968 meV per atom. Its offset from the most stable computed form is 887.9 meV per atom.